Entry 1:
An optimized crystal structure of SrMgGa2Pd. Source: the Alexandria database, functional PBE.

```
5
Lattice="4.9203 0.0000 0.0000 0.0000 4.9203 0.0000 0.0000 0.0000 4.9688" Properties=species:S:1:pos:R:3 pbc="T T T"
Ga 0.0000 2.4601 0.0000
Ga 2.4601 0.0000 0.0000
Mg 0.0000 0.0000 2.4844
Sr 2.4601 2.4601 2.4844
Pd 0.0000 0.0000 0.0000
```

## Properties
- DOS at the Fermi energy: 2.715 states/eV/f.u.
- Offset from the most stable computed form: 16.8 kJ/mol of atoms
- Total magnetic moment: 0.0000 μB per atom
- Space-group type: P4/mmm, No. 123
- Energy relative to the elements: -0.371 eV/atom


Entry 2:
An optimized crystal structure of SrMgGaPd2. Source: the Alexandria database, functional PBE.

```
5
Lattice="4.2996 0.0000 0.0000 0.0000 4.2996 0.0000 -2.1498 -2.1498 5.7903" Properties=species:S:1:pos:R:3 pbc="T T T"
Pd 2.1498 2.1498 1.3798
Pd 0.0000 0.0000 4.4105
Sr 0.0000 0.0000 0.0000
Ga 0.0000 2.1498 2.8951
Mg 2.1498 0.0000 2.8951
```

## Properties
- DOS at the Fermi energy: 2.370 states/eV/f.u.
- Total magnetic moment: 0.0000 μB per atom
- Space-group type: I-4m2, No. 119
- Energy relative to the elements: -0.647 eV/atom


Entry 3:
An optimized crystal structure of Sr2MgGa4Pd3. Source: the Alexandria database, functional PBE.

```
10
Lattice="-2.2983 -0.4942 -3.6214 -0.5297 -4.1877 0.9076 -9.5038 2.4372 5.6990" Properties=species:S:1:pos:R:3 pbc="T T T"
Ga -7.2807 1.3253 1.8661
Ga -1.4140 -2.3409 -1.3569
Ga 0.0000 0.0000 0.0000
Ga -3.6371 -1.2291 2.4760
Pd -4.7519 1.2186 2.8495
Pd -9.4623 1.8848 3.1742
Pd -1.4555 -1.7885 1.1678
Sr -7.4814 -0.2432 4.7812
Sr -3.4364 0.3395 -0.4392
Mg -6.1659 -1.1223 1.4925
```

## Properties
- DOS at the Fermi energy: 4.498 states/eV/f.u.
- Total magnetic moment: 0.0000 μB per atom
- Space-group type: P-4m2, No. 115
- Energy relative to the elements: -0.610 eV/atom


Entry 4:
An optimized crystal structure of SrMgGa2Pd. Source: the Alexandria database, functional PBE.

```
5
Lattice="-0.8677 -2.9939 3.0294 4.1499 -1.5273 -0.3207 0.0153 5.9053 2.7221" Properties=species:S:1:pos:R:3 pbc="T T T"
Ga 0.1659 0.3651 0.4084
Ga 0.2240 -0.0493 3.1339
Pd 2.7241 0.1224 4.0196
Mg 2.7192 0.6539 1.4252
Sr 1.4645 3.2225 3.6042
```

## Properties
- DOS at the Fermi energy: 2.752 states/eV/f.u.
- Offset from the most stable computed form: 0.0 kJ/mol of atoms
- Total magnetic moment: 0.0000 μB per atom
- Space-group type: Imm2, No. 44
- Energy relative to the elements: -0.545 eV/atom


Entry 5:
An optimized crystal structure of SrMg2GaPd. Source: the Alexandria database, functional PBE.

```
5
Lattice="-2.6019 -1.4435 4.0940 -0.7373 -4.5568 -2.0753 4.1692 -1.6211 2.0782" Properties=species:S:1:pos:R:3 pbc="T T T"
Mg -1.3010 -0.7217 2.0470
Mg -0.3687 -2.2784 -1.0376
Sr 0.4150 -3.8107 2.0485
Ga 2.0846 -0.8105 1.0391
Pd 0.0000 0.0000 0.0000
```

## Properties
- DOS at the Fermi energy: 3.816 states/eV/f.u.
- Total magnetic moment: 0.0000 μB per atom
- Space-group type: P4/mmm, No. 123
- Energy relative to the elements: -0.355 eV/atom


Entry 6:
An optimized crystal structure of SrMgGaPd. Source: the Alexandria database, functional PBE.

```
4
Lattice="4.5955 0.0000 0.0000 2.2977 3.9798 0.0000 2.2977 1.3266 5.4936" Properties=species:S:1:pos:R:3 pbc="T T T"
Pd 6.8932 3.9798 0.1433
Ga 4.5955 2.6532 0.9891
Sr 6.8932 3.9798 3.1995
Mg 2.2977 1.3266 0.1860
```

## Properties
- DOS at the Fermi energy: 2.613 states/eV/f.u.
- Total magnetic moment: 0.0000 μB per atom
- Space-group type: R3m, No. 160
- Energy relative to the elements: -0.519 eV/atom